No. 1
NdTmZrSc | PBE-GGA | optimized geometry

```
NdTmZrSc
1.0
-5.204 -1.349 0.122
-1.506 -5.017 -1.216
-1.841 -3.264 3.856
Sc Tm Nd Zr
1 1 1 1
Cartesian
0.000 0.000 0.000 Sc
-4.275 -4.815 1.381 Tm
-2.138 -2.407 0.690 Nd
-6.413 -7.222 2.071 Zr
```

Output
Volume ... 27.483 Å³ per atom
Formation enthalpy at 0 K ... 0.18 eV per atom
Magnetization ... 0.00 μB per formula unit

***

No. 2
NdTm2ZrSc4 | PBE-GGA | optimized geometry

```
NdTm2ZrSc4
1.0
4.767 0.000 0.000
0.000 4.657 1.064
0.000 2.569 10.176
Nd Tm Zr Sc
1 2 1 4
Cartesian
2.383 2.329 0.532 Nd
0.000 2.569 10.176 Tm
2.383 1.285 5.088 Tm
0.000 3.613 5.620 Zr
0.000 5.447 8.313 Sc
4.767 1.780 2.928 Sc
2.384 4.108 3.460 Sc
2.383 3.119 7.780 Sc
```

Output
Volume ... 26.611 Å³ per atom
Formation enthalpy at 0 K ... 0.06 eV per atom
Magnetization ... 0.00 μB per formula unit

***

No. 3
NdScU | PBE-GGA | optimized geometry

```
NdScU
1.0
-2.186 1.751 -2.422
-4.388 -2.607 2.075
0.133 5.173 6.450
U Sc Nd
2 2 2
Cartesian
-2.257 3.552 1.775 U
-4.184 0.765 4.328 U
-4.877 -0.199 1.427 Sc
-1.563 4.515 4.676 Sc
-4.863 4.028 4.471 Nd
-1.577 0.289 1.632 Nd
```

Output
Volume ... 27.396 Å³ per atom
Formation enthalpy at 0 K ... 0.23 eV per atom
Magnetization ... 0.28 μB per formula unit

***

No. 4
NdSc2V | PBE-GGA | optimized geometry

```
NdSc2V
1.0
-2.078 2.313 1.460
0.837 -1.207 3.105
6.318 5.420 0.403
Sc Nd V
2 1 1
Cartesian
5.110 4.384 0.326 Sc
1.208 1.036 0.077 Sc
2.539 3.263 2.484 Nd
-0.620 0.553 2.282 V
```

Output
Volume ... 24.583 Å³ per atom
Formation enthalpy at 0 K ... 0.17 eV per atom
Magnetization ... 3.27 μB per formula unit

***

No. 5
Nd2ScV | PBE-GGA | optimized geometry

```
Nd2ScV
1.0
-1.613 -0.265 -2.939
-3.134 -1.216 -0.095
-5.702 10.018 0.302
Sc Nd V
1 2 1
Cartesian
-5.225 4.268 -1.366 Sc
-4.673 7.393 -0.026 Nd
-5.776 1.144 -2.706 Nd
0.000 0.000 0.000 V
```

Output
Volume ... 27.834 Å³ per atom
Formation enthalpy at 0 K ... 0.64 eV per atom
Magnetization ... 2.97 μB per formula unit

***

No. 6
NdScV4 | PBE-GGA | optimized geometry

```
NdScV4
1.0
-1.930 -1.357 4.764
3.322 -1.274 3.949
0.590 3.282 4.140
Sc Nd V
1 1 4
Cartesian
0.000 0.000 0.000 Sc
0.496 0.163 3.213 Nd
0.943 -1.271 5.952 V
-0.456 1.060 6.050 V
1.245 0.408 8.071 V
2.233 1.103 5.633 V
```

Output
Volume ... 17.705 Å³ per atom
Formation enthalpy at 0 K ... 0.33 eV per atom
Magnetization ... 0.00 μB per formula unit

***

No. 7
NdScV | PBE-GGA | optimized geometry

```
NdScV
1.0
4.486 0.000 0.000
0.000 4.486 0.000
0.000 0.000 7.525
V Sc Nd
2 2 2
Cartesian
0.000 0.000 0.000 V
2.243 2.243 0.000 V
0.000 2.243 5.780 Sc
2.243 0.000 1.744 Sc
0.000 2.243 2.174 Nd
2.243 0.000 5.350 Nd
```

Output
Volume ... 25.234 Å³ per atom
Formation enthalpy at 0 K ... 0.47 eV per atom
Magnetization ... 0.00 μB per formula unit

***

No. 8
NdY6Sc2 | PBE-GGA | optimized geometry

```
NdY6Sc2
1.0
5.502 -0.879 0.234
-1.514 9.778 6.242
-3.025 1.632 11.182
Nd Y Sc
2 12 4
Cartesian
-1.272 3.448 10.006 Nd
2.234 7.082 7.652 Nd
1.811 5.289 10.847 Y
1.650 3.442 7.753 Y
-0.849 5.242 6.811 Y
-0.687 7.089 9.906 Y
2.397 8.866 10.644 Y
2.072 5.298 4.661 Y
-1.434 1.664 7.015 Y
-1.109 5.233 12.997 Y
-3.370 9.586 16.348 Y
1.330 0.024 2.018 Y
4.333 0.945 1.310 Y
-0.367 10.507 15.640 Y
-3.530 7.877 13.480 Sc
1.490 1.734 4.885 Sc
4.493 2.653 4.178 Sc
-0.527 8.797 12.773 Sc
```

Output
Volume ... 30.752 Å³ per atom
Relative energy among the computed polymorphs ... 33 meV/atom
Formation enthalpy at 0 K ... 0.08 eV per atom
Magnetization ... 0.00 μB per formula unit

***

No. 9
Nd3Y4Sc2 | PBE-GGA | optimized geometry

```
Nd3Y4Sc2
1.0
-3.835 -0.448 5.496
2.822 -7.229 8.338
4.368 2.527 10.212
Nd Y Sc
6 8 4
Cartesian
-2.372 -0.638 8.021 Nd
3.966 -3.744 18.963 Nd
5.726 -4.511 16.025 Nd
-0.611 -1.405 5.083 Nd
2.632 -2.490 10.644 Nd
0.723 -2.659 13.402 Nd
1.372 -5.695 11.620 Y
2.932 -5.343 8.504 Y
1.983 0.545 12.425 Y
0.423 0.194 15.542 Y
-1.369 -0.692 11.481 Y
3.192 -2.240 15.781 Y
4.723 -4.457 12.565 Y
0.162 -2.909 8.265 Y
0.906 0.312 9.134 Sc
5.026 -1.076 12.963 Sc
2.449 -5.461 14.911 Sc
-1.671 -4.073 11.083 Sc
```

Output
Volume ... 31.846 Å³ per atom
Relative energy among the computed polymorphs ... 96 meV/atom
Formation enthalpy at 0 K ... 0.12 eV per atom
Magnetization ... 0.00 μB per formula unit

***

No. 10
NdY8Sc2 | PBE-GGA | optimized geometry

```
NdY8Sc2
1.0
5.161 0.000 -1.567
-1.001 7.411 -3.296
0.001 -0.375 9.287
Nd Y Sc
1 8 2
Cartesian
2.581 0.000 -0.784 Nd
2.471 6.189 -1.144 Y
1.278 3.902 4.208 Y
0.686 1.098 2.260 Y
4.863 1.844 6.733 Y
3.476 5.938 2.164 Y
2.884 3.133 0.216 Y
1.691 0.846 5.567 Y
-0.701 5.192 -2.309 Y
0.330 5.034 1.087 Sc
3.832 2.002 3.337 Sc
```

Output
Volume ... 31.661 Å³ per atom
Relative energy among the computed polymorphs ... 0 meV/atom
Formation enthalpy at 0 K ... 0.12 eV per atom
Magnetization ... 0.00 μB per formula unit

***

No. 11
NdY6Sc | PBE-GGA | optimized geometry

```
NdY6Sc
1.0
-3.561 4.959 -2.908
-0.362 -3.303 -5.594
-6.583 0.642 1.758
Nd Y Sc
1 6 1
Cartesian
0.000 0.000 0.000 Nd
-3.671 -1.619 -3.531 Y
-5.657 0.731 -5.081 Y
-4.849 1.567 -1.664 Y
-6.835 3.917 -3.213 Y
-8.766 0.939 -4.040 Y
-1.739 1.359 -2.705 Y
-0.181 -1.651 -2.797 Sc
```

Output
Volume ... 32.193 Å³ per atom
Relative energy among the computed polymorphs ... 39 meV/atom
Formation enthalpy at 0 K ... 0.21 eV per atom
Magnetization ... 0.00 μB per formula unit

***

No. 12
Nd14YSc | PBE-GGA | optimized geometry

```
Nd14YSc
1.0
-3.644 1.571 -6.131
-6.247 0.241 3.774
1.430 10.052 1.726
Nd Y Sc
14 1 1
Cartesian
-4.556 5.766 0.925 Nd
-3.254 6.431 -4.031 Nd
-7.092 1.525 -3.006 Nd
-6.378 6.551 -2.142 Nd
-2.148 0.619 -1.828 Nd
-1.432 5.645 -0.964 Nd
-6.689 8.779 0.767 Nd
-7.417 3.667 -0.111 Nd
-1.695 7.865 1.957 Nd
-2.422 2.752 1.079 Nd
-4.849 7.988 3.864 Nd
-5.577 2.872 2.986 Nd
-3.534 8.657 -1.140 Nd
-4.262 3.546 -2.018 Nd
-5.270 0.740 0.058 Y
-3.969 1.405 -4.891 Sc
```

Output
Volume ... 34.328 Å³ per atom
Formation enthalpy at 0 K ... 0.02 eV per atom
Magnetization ... 0.00 μB per formula unit